The following is a DFT calculation (PBE) of an optimized crystal structure of PbBr.

```
PbBr
1.0
5.508 0.000 0.000
-2.754 4.770 0.000
0.000 0.000 6.494
Pb Br
2 2
direct
0.333 0.667 0.250
0.667 0.333 0.750
0.333 0.667 0.750
0.667 0.333 0.250
```

Computed properties:
Its spin magnetization is 0.0 μB per cell. As for the total energy: -11.33 eV/cell.